{"formula": "MnPF3", "functional": "PBE with a Hubbard U", "state": "relaxed", "crystal_system": "cubic", "polymorph_energy_mev_per_atom": 566, "magnetic_moment_mub_per_cell": 0.001, "n_ef_per_ev_atom": 1.40, "lattice": [[-2.5491, -0.0713, 3.0553], [0.4640, -3.9415, 0.2951], [3.0207, 0.5452, 2.5330]], "species": ["F", "Mn", "P", "F", "F"], "fractional_positions": [[0.0000, 0.0000, 0.5000], [0.0000, 0.0000, 0.0000], [0.5000, 0.5000, 0.5000], [0.5000, 0.0000, 0.0000], [0.0000, 0.5000, 0.0000]]}